No. 1
VASP calculation (PBE) on Ca2Ac8Nd3 after structural relaxation.

a = 7.4133 Å, b = 10.5348 Å, c = 10.5348 Å
α = 55.97°, β = 62.35°, γ = 62.35°
Atoms (fractional coordinates):
Ca 0.5213 0.1995 0.1995
Ca 0.4787 0.8005 0.8005
Ac 0.0153 0.5957 0.5957
Ac 0.9847 0.4043 0.4043
Ac 0.0162 0.1878 0.1878
Ac 0.9838 0.8122 0.8122
Ac 0.5377 0.5691 0.2038
Ac 0.5377 0.2038 0.5691
Ac 0.4623 0.7962 0.4309
Ac 0.4623 0.4309 0.7962
Nd 0.5000 0.0000 0.0000
Nd 0.0000 0.1620 0.8380
Nd 0.0000 0.8380 0.1620

## Properties
The formation energy is 0.205 eV/atom.


No. 2
VASP calculation (PBE) on ScAl2Ir after structural relaxation.

a = 4.3386 Å, b = 2.9918 Å, c = 5.0663 Å
α = 80.55°, β = 90.00°, γ = 90.00°
Atoms (fractional coordinates):
Sc 0.5000 0.7125 0.7775
Ir 0.0000 0.4938 0.4507
Al 0.0000 0.1516 0.9950
Al 0.5000 0.1420 0.2768

## Properties
The formation energy is -0.549 eV/atom.


No. 3
VASP calculation (PBE) on Nd6CdBr8 after structural relaxation.

a = 7.2348 Å, b = 7.2348 Å, c = 11.8903 Å
α = 72.29°, β = 72.29°, γ = 60.00°
Atoms (fractional coordinates):
Nd 0.9456 0.6120 0.1625
Nd 0.7201 0.0544 0.8375
Nd 0.3880 0.7201 0.8375
Nd 0.6120 0.2799 0.1625
Nd 0.2799 0.9456 0.1625
Nd 0.0544 0.3880 0.8375
Cd 0.0000 0.0000 0.0000
Br 0.7818 0.4370 0.6720
Br 0.8909 0.2182 0.3280
Br 0.5630 0.8909 0.3280
Br 0.3333 0.3333 0.0002
Br 0.6667 0.6667 0.9998
Br 0.4370 0.1091 0.6720
Br 0.1091 0.7818 0.6720
Br 0.2182 0.5630 0.3280

## Properties
The value obtained for the uncorrected formation energy is -1325 meV/atom.


No. 4
VASP calculation (PBE) on Tl2Cr after structural relaxation.

a = 8.2487 Å, b = 8.2487 Å, c = 6.0790 Å
α = 68.78°, β = 68.78°, γ = 21.87°
Atoms (fractional coordinates):
Tl 0.6072 0.6072 0.3955
Tl 0.3244 0.3244 0.1721
Tl 0.6756 0.6756 0.8279
Tl 0.3928 0.3928 0.6045
Cr 0.9997 0.9997 0.8507
Cr 0.0003 0.0003 0.1493

## Properties
The formation energy is 0.609 eV/atom. The calculation puts the relative energy among the computed polymorphs at 0.56 eV per formula unit.


No. 5
VASP calculation (PBE) on BaBr2Cl after structural relaxation.

a = 5.2804 Å, b = 5.6780 Å, c = 5.6803 Å
α = 62.38°, β = 90.00°, γ = 90.00°
Atoms (fractional coordinates):
Ba 0.5000 0.7500 0.7500
Br 0.0000 0.9797 0.9798
Br 0.0000 0.5203 0.5202
Cl 0.5000 0.2500 0.2500

## Properties
The calculation puts the relative energy among the computed polymorphs at 0.10 eV per formula unit. The value obtained for the uncorrected formation energy is -1585 meV/atom.


No. 6
VASP calculation (PBE) on CeCo2C2 after structural relaxation.

a = 3.3461 Å, b = 3.3461 Å, c = 5.6946 Å
α = 107.10°, β = 107.09°, γ = 90.00°
Atoms (fractional coordinates):
Ce 0.0000 0.0000 0.0000
Co 0.7500 0.2500 0.5000
Co 0.2500 0.7500 0.5000
C 0.6529 0.6528 0.3058
C 0.3471 0.3472 0.6942

## Properties
The formation energy is -0.173 eV/atom.